Record 1
A geometry-optimized KSrTlAs2 structure. Source: Alexandria, functional PBE.

## Properties
Energy of formation from the pure elements in eV per atom: 0.2777

Cell lengths 5.7595, 5.7595, 6.0461 Å; angles 90.00, 90.00, 90.00 degrees
Last column: nearest neighbours and their distance in Å.
Space group P4/mmm (No. 123)
Inequivalent atoms, fractional coordinates:
K (0.0000, 0.0000, 0.0000) (multiplicity 1)  2 Sr 3.02
Sr (0.0000, 0.0000, 0.5000) (multiplicity 1)  4 As 2.88, 2 K 3.02
Tl (0.5000, 0.5000, 0.0000) (multiplicity 1)  4 K 4.07, 8 As 4.18
As (0.0000, 0.5000, 0.5000) (multiplicity 2)  2 Sr 2.88

---

Record 2
A geometry-optimized Cs2CaTlBi2 structure. Source: Alexandria, functional PBE.

## Properties
Energy of formation from the pure elements in eV per atom: -0.4902

Cell lengths 7.6012, 18.4341, 7.7946 Å; angles 90.00, 90.00, 90.00 degrees
Last column: nearest neighbours and their distance in Å.
Space group Ibam (No. 72)
Inequivalent atoms, fractional coordinates:
Cs (0.2287, 0.1743, 0.0000) (multiplicity 8)  5 Bi 3.95-4.15, 2 Tl 4.14, 2 Ca 4.29
Ca (0.0000, 0.5000, 0.2500) (multiplicity 4)  4 Bi 3.26
Tl (0.0000, 0.0000, 0.2500) (multiplicity 4)  4 Bi 3.34
Bi (0.2411, 0.3992, 0.0000) (multiplicity 8)  2 Ca 3.26, 2 Tl 3.34

---

Record 3
A geometry-optimized Mg5In4Cu structure. Source: Alexandria, functional PBE.

## Properties
Energy of formation from the pure elements in eV per atom: -0.0680

Cell lengths 3.3733, 3.3733, 19.3216 Å; angles 90.00, 90.00, 90.00 degrees
Last column: nearest neighbours and their distance in Å.
Space group P4/mmm (No. 123)
Inequivalent atoms, fractional coordinates:
Mg (0.0000, 0.0000, 0.0000) (multiplicity 1)  8 In 3.18, 4 Mg 3.37
Mg (0.0000, 0.0000, 0.2161) (multiplicity 2)  8 In 3.11-3.16, 4 Mg 3.37
Mg (0.0000, 0.0000, 0.4250) (multiplicity 2)  4 Cu 2.79, 1 Mg 2.90
In (0.5000, 0.5000, 0.1090) (multiplicity 2)  8 Mg 3.16-3.18, 4 In 3.37
In (0.5000, 0.5000, 0.3194) (multiplicity 2)  8 Mg 3.11-3.14, 4 In 3.37
Cu (0.5000, 0.5000, 0.5000) (multiplicity 1)  8 Mg 2.79

---

Record 4
A geometry-optimized Ba6Pb2I3Br structure. Source: Alexandria, functional PBE.

## Properties
Electronic total energy in Ha/atom: -0.121

Cell lengths 22.3877, 5.0795, 10.2275 Å; angles 90.00, 104.09, 90.00 degrees
Last column: nearest neighbours and their distance in Å.
Space group C2/m (No. 12)
Inequivalent atoms, fractional coordinates:
Ba (0.0108, 0.0000, 0.2442) (multiplicity 4)  1 Pb 3.30, 2 Br 3.53, 2 I 3.70
Ba (0.1669, 0.5000, 0.0990) (multiplicity 4)  2 Pb 3.41, 1 Br 3.63, 3 I 3.73-3.77
Ba (0.1743, 0.5000, 0.5628) (multiplicity 4)  3 Pb 3.52-3.55, 3 I 3.79-3.80
Pb (0.1628, 0.0000, 0.3198) (multiplicity 4)  6 Ba 3.30-3.55
I (0.0000, 0.5000, 0.5000) (multiplicity 2)  6 Ba 3.70-3.80
I (0.1599, 0.0000, 0.8283) (multiplicity 4)  6 Ba 3.71-3.79
Br (0.0000, 0.5000, 0.0000) (multiplicity 2)  6 Ba 3.53-3.63

---

Record 5
A geometry-optimized KTiAs2 structure. Source: Alexandria, functional PBE.

## Properties
Energy of formation from the pure elements in eV per atom: -0.3941

Cell lengths 6.0704, 6.0704, 14.9890 Å; angles 90.00, 90.00, 90.00 degrees
Last column: nearest neighbours and their distance in Å.
Space group I-42d (No. 122)
Inequivalent atoms, fractional coordinates:
K (0.0000, 0.0000, 0.0000) (multiplicity 4)  8 As 3.87-3.89, 4 Ti 4.29
Ti (0.0000, 0.0000, 0.5000) (multiplicity 4)  4 As 2.41
As (0.0021, 0.2500, 0.6250) (multiplicity 8)  2 Ti 2.41

---

Record 6
A geometry-optimized Sr2FeCoRe structure. Source: Alexandria, functional PBE.

## Properties
Energy of formation from the pure elements in eV per atom: 1.1847

Cell lengths 5.6265, 5.6265, 4.4125 Å; angles 90.00, 90.00, 90.00 degrees
Last column: nearest neighbours and their distance in Å.
Space group P4/mmm (No. 123)
Inequivalent atoms, fractional coordinates:
Sr (0.0000, 0.5000, 0.0000) (multiplicity 2)  2 Co 2.81
Fe (0.0000, 0.0000, 0.5000) (multiplicity 1)  8 Sr 3.58, 4 Re 3.98
Co (0.5000, 0.5000, 0.0000) (multiplicity 1)  2 Re 2.21
Re (0.5000, 0.5000, 0.5000) (multiplicity 1)  2 Co 2.21

---

Record 7
A geometry-optimized MgB4Rh6 structure. Source: Alexandria, functional PBE.

## Properties
Energy of formation from the pure elements in eV per atom: -0.2772

Cell lengths 5.6240, 5.6240, 8.0260 Å; angles 90.00, 90.00, 90.00 degrees
Last column: nearest neighbours and their distance in Å.
Space group I-42m (No. 121)
Inequivalent atoms, fractional coordinates:
Mg (0.0000, 0.0000, 0.0000) (multiplicity 2)  8 Rh 2.65-2.81, 4 B 2.82
B (0.1514, 0.1514, 0.5663) (multiplicity 8)  2 B 2.01, 5 Rh 2.18-2.24
Rh (0.0000, 0.5000, 0.0000) (multiplicity 4)  4 B 2.20
Rh (0.1785, 0.1785, 0.2786) (multiplicity 8)  4 B 2.18-2.32

---

Record 8
A geometry-optimized B5C7 structure. Source: Alexandria, functional PBE.

## Properties
Energy of formation from the pure elements in eV per atom: 0.3162

Cell lengths 3.6504, 4.5002, 5.3841 Å; angles 105.47, 91.48, 110.34 degrees
Last column: nearest neighbours and their distance in Å.
Space group P1 (No. 1)
Inequivalent atoms, fractional coordinates:
B (0.0000, 0.0000, 0.0000) (multiplicity 1)  3 C 1.55-1.61
B (0.0149, 0.6269, 0.4372) (multiplicity 1)  3 C 1.62-1.67, 1 B 1.80
B (0.2921, 0.7157, 0.7463) (multiplicity 1)  2 C 1.59-1.62
B (0.3532, 0.3076, 0.6042) (multiplicity 1)  3 C 1.62-1.71
B (0.6426, 0.9673, 0.3354) (multiplicity 1)  3 C 1.57-1.63
C (0.0232, 0.6551, 0.9755) (multiplicity 1)  2 C 1.52-1.56, 2 B 1.55-1.62
C (0.2761, 0.6375, 0.1969) (multiplicity 1)  2 C 1.52, 2 B 1.59-1.63
C (0.3833, 0.3318, 0.1177) (multiplicity 1)  3 C 1.52-1.58, 1 B 1.61
C (0.6058, 0.3087, 0.3539) (multiplicity 1)  1 C 1.54, 3 B 1.57-1.65
C (0.6310, 0.3492, 0.8818) (multiplicity 1)  3 C 1.54-1.58, 1 B 1.71
C (0.7002, 0.0203, 0.7933) (multiplicity 1)  2 C 1.54-1.57, 2 B 1.58-1.59
C (0.9545, 0.9853, 0.5650) (multiplicity 1)  1 C 1.57, 3 B 1.62-1.67

---

Record 9
A geometry-optimized NaSrGa structure. Source: Alexandria, functional PBE.

## Properties
Energy of formation from the pure elements in eV per atom: -0.1009

Cell lengths 4.0538, 4.0538, 11.3652 Å; angles 90.00, 90.00, 90.00 degrees
Last column: nearest neighbours and their distance in Å.
Space group I4mm (No. 107)
Inequivalent atoms, fractional coordinates:
Na (0.0000, 0.0000, 0.0000) (multiplicity 2)  4 Ga 3.25, 1 Sr 3.32
Sr (0.0000, 0.0000, 0.7082) (multiplicity 2)  1 Na 3.32, 4 Ga 3.38
Ga (0.0000, 0.0000, 0.3655) (multiplicity 2)  4 Na 3.25, 4 Sr 3.38

---

Record 10
A geometry-optimized HfRuI2N structure. Source: Alexandria, functional PBE.

## Properties
Electronic total energy in Ha/atom: -0.203

Cell lengths 5.8507, 5.8507, 3.9339 Å; angles 90.00, 90.00, 90.00 degrees
Last column: nearest neighbours and their distance in Å.
Space group P4/mmm (No. 123)
Inequivalent atoms, fractional coordinates:
Hf (0.0000, 0.0000, 0.0000) (multiplicity 1)  2 N 1.97
Ru (0.5000, 0.5000, 0.5000) (multiplicity 1)  8 I 3.53, 2 Ru 3.93
I (0.0000, 0.5000, 0.0000) (multiplicity 2)  2 Hf 2.93
N (0.0000, 0.0000, 0.5000) (multiplicity 1)  2 Hf 1.97

---

Record 11
A geometry-optimized SrZnIr structure. Source: Alexandria, functional PBE.

## Properties
Energy of formation from the pure elements in eV per atom: -0.2607

Cell lengths 5.5395, 5.7749, 7.5238 Å; angles 90.00, 90.00, 90.00 degrees
Last column: nearest neighbours and their distance in Å.
Space group Imma (No. 74)
Inequivalent atoms, fractional coordinates:
Sr (0.0000, 0.2500, 0.1339) (multiplicity 4)  6 Ir 3.11-3.28, 6 Zn 3.20-3.32, 2 Sr 3.27
Zn (0.2500, 0.2500, 0.7500) (multiplicity 4)  4 Ir 2.75, 2 Zn 2.77
Ir (0.0000, 0.0000, 0.5000) (multiplicity 4)  4 Zn 2.75, 2 Ir 2.89

---

Record 12
A geometry-optimized Li12In3Au structure. Source: Alexandria, functional PBE.

## Properties
Energy of formation from the pure elements in eV per atom: -0.2407

Cell lengths 4.1144, 4.1144, 17.0938 Å; angles 90.00, 90.00, 90.00 degrees
Last column: nearest neighbours and their distance in Å.
Space group P4/mmm (No. 123)
Inequivalent atoms, fractional coordinates:
Li (0.0000, 0.0000, 0.0000) (multiplicity 1)  8 Li 2.79, 4 Au 2.91
Li (0.0000, 0.0000, 0.2394) (multiplicity 2)  4 In 2.91, 8 Li 3.01-3.03
Li (0.0000, 0.0000, 0.5000) (multiplicity 1)  4 In 2.91, 8 Li 3.04
Li (0.0000, 0.5000, 0.1105) (multiplicity 4)  8 Li 2.79-3.01, 2 Au 2.79, 2 In 3.04
Li (0.0000, 0.5000, 0.3694) (multiplicity 4)  8 Li 2.91-3.04, 4 In 3.01-3.04
In (0.5000, 0.5000, 0.2411) (multiplicity 2)  12 Li 2.91-3.04
In (0.5000, 0.5000, 0.5000) (multiplicity 1)  12 Li 2.91-3.04
Au (0.5000, 0.5000, 0.0000) (multiplicity 1)  12 Li 2.79-2.91

---

Sequential density output: 3982, 5645, 4866, 5002, 2848, 5661, 8961, 2895, 3207, 6750, 9528, 3585 kg/m³